1.
The following is a DFT calculation (PBE) of a relaxed NiSbP crystal.

Results
Calculated total energy in eV/atom: -5.22
D(E_F) in states/eV per atom: 0.295
Formation energy (no corrections) in meV/atom: -111

a b c (Å): 4.817 3.882 6.667
angles (deg): 90.00 116.27 90.00
Positions (direct):
Ni: 0.823 0.000 0.476
Ni: 0.823 0.500 0.976
Sb: 0.487 0.000 0.704
Sb: 0.487 0.500 0.204
P: 0.934 0.000 0.178
P: 0.934 0.500 0.678



2.
The following is a DFT calculation (PBE) of a relaxed MgCd2 crystal.

Results
Calculated total energy in eV/atom: -1.08
D(E_F) in states/eV per atom: 0.728
Energy relative to the elements in eV/f.u.: 0.2

a b c (Å): 4.970 4.970 3.164
angles (deg): 90.00 90.00 90.00
Positions (direct):
Cd: 0.000 0.500 0.500
Cd: 0.500 0.000 0.500
Mg: 0.000 0.000 0.000



3.
The following is a DFT calculation (PBE) of a relaxed TiCr4Sn crystal.

Results
Calculated total energy in eV/atom: -8.40
D(E_F) in states/eV per atom: 0.783
Energy relative to the elements in eV/f.u.: 0.0

a b c (Å): 4.899 4.899 4.899
angles (deg): 60.00 60.00 60.00
Positions (direct):
Cr: 0.626 0.626 0.123
Cr: 0.626 0.123 0.626
Cr: 0.626 0.626 0.626
Cr: 0.123 0.626 0.626
Sn: 0.000 0.000 0.000
Ti: 0.250 0.250 0.250



4.
The following is a DFT calculation (PBE) of a relaxed Mn2FeRu crystal.

Results
Calculated total energy in eV/atom: -8.76
D(E_F) in states/eV per atom: 1.664
Energy relative to the elements in eV/f.u.: 1.0

a b c (Å): 2.539 2.539 8.305
angles (deg): 90.00 90.00 113.28
Last column: magnetic moment on the atom in μB.
Positions (direct):
Fe: 0.500 0.500 0.761  2.53
Mn: 0.000 0.000 0.003  1.07
Mn: 0.500 0.500 0.239  1.69
Ru: 0.000 0.000 0.498  0.36



5.
The following is a DFT calculation (PBE) of a relaxed AcLa3 crystal.

Results
Calculated total energy in eV/atom: -4.70
D(E_F) in states/eV per atom: 2.149
Energy relative to the elements in eV/f.u.: 0.1

a b c (Å): 5.354 5.354 6.586
angles (deg): 113.98 113.98 90.00
Positions (direct):
Ac: 0.000 0.000 0.000
La: 0.750 0.250 0.500
La: 0.250 0.750 0.500
La: 0.500 0.500 0.000



6.
The following is a DFT calculation (PBE) of a relaxed Pm4PbC2 crystal.

Results
Calculated total energy in eV/atom: -6.15
D(E_F) in states/eV per atom: 0.419
Energy relative to the elements in eV/f.u.: -1.9

a b c (Å): 3.708 3.708 15.190
angles (deg): 82.99 82.99 60.00
Positions (direct):
Pm: 0.123 0.123 0.632
Pm: 0.273 0.273 0.182
Pm: 0.727 0.727 0.818
Pm: 0.877 0.877 0.368
Pb: 0.000 0.000 0.000
C: 0.427 0.427 0.719
C: 0.573 0.573 0.281



7.
The following is a DFT calculation (PBE) of a relaxed Ca6Bi2Au crystal.

Results
Calculated total energy in eV/atom: -3.16
D(E_F) in states/eV per atom: 0.608
Energy relative to the elements in eV/f.u.: -5.4

a b c (Å): 7.178 8.340 10.443
angles (deg): 90.00 87.32 90.00
Positions (direct):
Ca: 0.866 0.972 0.239
Ca: 0.834 0.680 0.556
Ca: 0.852 0.682 0.946
Ca: 0.648 0.182 0.554
Ca: 0.666 0.180 0.944
Ca: 0.634 0.472 0.261
Ca: 0.134 0.028 0.761
Ca: 0.166 0.320 0.444
Ca: 0.148 0.318 0.054
Ca: 0.352 0.818 0.446
Ca: 0.334 0.820 0.056
Ca: 0.366 0.528 0.739
Bi: 0.941 0.384 0.742
Bi: 0.559 0.884 0.758
Bi: 0.441 0.116 0.242
Bi: 0.059 0.616 0.258
Au: 0.500 0.500 0.000
Au: 0.000 0.000 0.500



8.
The following is a DFT calculation (PBE) of a relaxed SmZn4Cd crystal.

Results
Calculated total energy in eV/atom: -1.94
D(E_F) in states/eV per atom: 0.405
Energy relative to the elements in eV/f.u.: -0.9

a b c (Å): 3.611 7.791 17.127
angles (deg): 90.00 90.00 90.00
Positions (direct):
Sm: 0.000 0.617 0.323
Sm: 0.000 0.383 0.677
Sm: 0.000 0.117 0.177
Sm: 0.000 0.883 0.823
Zn: 0.500 0.776 0.191
Zn: 0.500 0.224 0.809
Zn: 0.500 0.276 0.309
Zn: 0.500 0.724 0.691
Zn: 0.500 0.915 0.060
Zn: 0.500 0.085 0.940
Zn: 0.500 0.415 0.440
Zn: 0.500 0.585 0.560
Zn: 0.500 0.806 0.448
Zn: 0.500 0.194 0.552
Zn: 0.500 0.306 0.052
Zn: 0.500 0.694 0.948
Zn: 0.500 0.950 0.313
Zn: 0.500 0.050 0.687
Zn: 0.500 0.450 0.187
Zn: 0.500 0.550 0.813
Cd: 0.000 0.615 0.078
Cd: 0.000 0.385 0.922
Cd: 0.000 0.115 0.422
Cd: 0.000 0.885 0.578



9.
The following is a DFT calculation (PBE) of a relaxed MnIn crystal.

Results
Calculated total energy in eV/atom: -5.72
D(E_F) in states/eV per atom: 0.523
Energy relative to the elements in eV/f.u.: 0.5

a b c (Å): 5.313 5.313 5.313
angles (deg): 136.09 136.09 63.84
Last column: magnetic moment on the atom in μB.
Positions (direct):
In: 0.000 0.000 0.000  -0.14
In: 0.250 0.750 0.500  -0.14
Mn: 0.500 0.500 0.000  3.23
Mn: 0.750 0.250 0.500  3.23



10.
The following is a DFT calculation (PBE) of a relaxed Nd4TlTe2Br crystal.

Results
Calculated total energy in eV/atom: -4.77
D(E_F) in states/eV per atom: 0.608
Formation energy (no corrections) in meV/atom: -1096

a b c (Å): 4.499 7.767 7.690
angles (deg): 70.58 90.00 90.00
Positions (direct):
Nd: 0.000 0.745 0.755
Nd: 0.000 0.255 0.245
Nd: 0.500 0.752 0.240
Nd: 0.500 0.248 0.760
Tl: 0.500 0.500 0.000
Te: 0.000 0.000 0.000
Te: 0.500 0.000 0.500
Br: 0.000 0.500 0.500



11.
The following is a DFT calculation (PBE) of a relaxed Ac4PrSe5 crystal.

Results
Calculated total energy in eV/atom: -5.72
D(E_F) in states/eV per atom: 0.545
Formation energy (no corrections) in meV/atom: -1860

a b c (Å): 4.435 4.435 18.173
angles (deg): 82.99 82.99 60.00
Positions (direct):
Ac: 0.898 0.898 0.307
Ac: 0.299 0.299 0.102
Ac: 0.701 0.701 0.898
Ac: 0.102 0.102 0.693
Pr: 0.500 0.500 0.500
Se: 0.401 0.401 0.796
Se: 0.000 0.000 0.000
Se: 0.599 0.599 0.204
Se: 0.803 0.803 0.592
Se: 0.197 0.197 0.408



12.
The following is a DFT calculation (PBE) of a relaxed SrOsI3 crystal.

Results
Calculated total energy in eV/atom: -3.56
D(E_F) in states/eV per atom: 0.653
Formation energy (no corrections) in meV/atom: -48

a b c (Å): 5.466 5.466 5.466
angles (deg): 90.00 90.00 90.00
Positions (direct):
I: 0.000 0.500 0.000
I: 0.000 0.000 0.500
I: 0.500 0.000 0.000
Sr: 0.500 0.500 0.500
Os: 0.000 0.000 0.000